Entry 1:
Compound: ZrTcHg
Source: Alexandria
Functional: PBE
Structure: optimized geometry

As for the total energy: -5.6376 eV/atom. The formation enthalpy at 0 K is 768 meV/atom. As for the theoretical density: 9.55 Mg/m³.

a b c (Å): 4.577 4.577 4.577
angles (deg): 60.00 60.00 60.00
Sites, in units of the cell vectors:
Zr1 0.750 0.750 0.750
Tc1 0.500 0.500 0.500
Hg1 0.000 0.000 0.000


Entry 2:
Compound: LaTbDy2Y6
Source: Alexandria
Functional: PBE
Structure: optimized geometry

As for the total energy: -5.6353 eV/atom. The formation enthalpy at 0 K is 119 meV/atom. As for the theoretical density: 5.80 Mg/m³.

a b c (Å): 9.591 8.839 8.839
angles (deg): 117.26 93.47 93.47
Sites, in units of the cell vectors:
Dy1 0.950 0.699 0.802
Dy2 0.050 0.301 0.198
Dy3 0.550 0.198 0.301
Dy4 0.450 0.802 0.699
Y1 0.058 0.121 0.751
Y2 0.115 0.706 0.487
Y3 0.558 0.751 0.121
Y4 0.442 0.249 0.879
Y5 0.819 0.438 0.985
Y6 0.385 0.513 0.294
Y7 0.885 0.294 0.513
Y8 0.681 0.015 0.562
Y9 0.181 0.562 0.015
Y10 0.319 0.985 0.438
Y11 0.942 0.879 0.249
Y12 0.615 0.487 0.706
La1 0.250 0.971 0.029
La2 0.750 0.029 0.971
Tb1 0.250 0.410 0.590
Tb2 0.750 0.590 0.410